12
Lattice="3.852 0.000 0.000 -1.926 3.336 0.000 0.000 0.000 26.197" Properties=species:S:1:pos:R:3 comment="TmTh2Fe (PBE, relaxed)" e_above_lowest_polymorph_ev_per_fu=0.51 vol_a3_per_atom=28.058 formation_energy_mev_per_atom=61 pbc="T T T"
Tm 0.000 0.000 0.000
Tm 0.000 2.224 17.465
Tm 1.926 1.112 8.732
Th 0.000 0.000 14.617
Th 0.000 0.000 20.302
Th 0.000 2.224 5.885
Th 0.000 2.224 11.570
Th 1.926 1.112 2.837
Th 1.926 1.112 23.349
Fe 0.000 0.000 4.320
Fe 0.000 2.224 21.784
Fe 1.926 1.112 13.052